(1)
A plane-wave DFT calculation with PBE was carried out for SrMgP after structural relaxation.

abc: 4.8364 4.8364 4.8364
angles: 60.00 60.00 60.00
Fractional positions:
Mg 0.5000 0.5000 0.5000
P 0.7500 0.7500 0.7500
Sr 0.0000 0.0000 0.0000

Properties
As for the formation energy: -0.4998 eV/atom.

(2)
A plane-wave DFT calculation with PBE was carried out for BaNa2Pd2 after structural relaxation.

abc: 4.4780 4.4780 7.4124
angles: 72.42 72.42 90.00
Fractional positions:
Na 0.7500 0.2500 0.5000
Na 0.2500 0.7500 0.5000
Ba 0.0000 0.0000 0.0000
Pd 0.4004 0.4004 0.1993
Pd 0.5996 0.5996 0.8007

Properties
As for the formation energy: -0.2533 eV/atom.

(3)
A plane-wave DFT calculation with PBE was carried out for BaAlCrSe4 after structural relaxation.

abc: 5.4633 7.0580 9.9594
angles: 90.00 105.89 90.00
Fractional positions:
Ba 0.6704 0.7500 0.8589
Ba 0.3296 0.2500 0.1411
Al 0.1935 0.7500 0.2804
Al 0.8065 0.2500 0.7196
Cr 0.9482 0.7500 0.5033
Cr 0.0518 0.2500 0.4967
Se 0.0971 0.5011 0.6910
Se 0.9029 0.0011 0.3090
Se 0.9029 0.4989 0.3090
Se 0.0971 0.9989 0.6910
Se 0.2696 0.7500 0.0612
Se 0.7304 0.2500 0.9388
Se 0.4949 0.7500 0.5041
Se 0.5051 0.2500 0.4959

Properties
The value obtained for the formation energy without anion corrections is -1014 meV/atom.

(4)
A plane-wave DFT calculation with PBE was carried out for RbMgPb after structural relaxation.

abc: 9.0069 5.1113 14.0035
angles: 90.00 129.62 90.00
Fractional positions:
Pb 0.6940 0.0000 0.1407
Pb 0.3060 0.0000 0.8593
Pb 0.6940 0.5000 0.6407
Pb 0.3060 0.5000 0.3593
Mg 0.1000 0.0000 0.2360
Mg 0.9000 0.0000 0.7640
Mg 0.1000 0.5000 0.7360
Mg 0.9000 0.5000 0.2640
Rb 0.6885 0.0000 0.4221
Rb 0.3115 0.0000 0.5779
Rb 0.6885 0.5000 0.9221
Rb 0.3115 0.5000 0.0779

Properties
As for the formation energy: -0.0797 eV/atom.

In μB/f.u., the total magnetic moment values for the records above are, in order, 0.000 0.000 3.060 0.000.